(1)
Here is a relaxed structure of HoErBiO2 from Alexandria. Energies are from PBE.

POSCAR file:
```
HoErBiO2
1.0
-1.931 1.931 6.746
1.931 -1.931 6.746
1.931 1.931 -6.746
Ho Er Bi O
1 1 1 2
Cartesian
0.000 0.000 0.000
0.000 0.000 4.559
0.000 0.000 9.028
1.931 0.000 5.642
0.000 1.931 5.642
```

Results
As for the uncorrected formation energy: -1303 kJ/mol of formula units.

---

(2)
Here is a relaxed structure of HoEr2PaBi4 from Alexandria. Energies are from PBE.

POSCAR file:
```
HoEr2PaBi4
1.0
7.725 0.000 0.000
0.000 4.449 0.000
-2.548 0.000 7.296
Ho Er Pa Bi
1 2 1 4
Cartesian
0.000 0.000 0.000
2.589 0.000 3.648
3.862 2.224 0.000
-1.274 2.224 3.648
1.306 2.224 1.824
0.042 0.000 5.494
5.136 0.000 1.802
3.872 2.224 5.472
```

Results
The formation energy is -5.0 eV per formula unit.

---

Copy entry 2 word for word.
Here is a relaxed structure of HoEr2PaBi4 from Alexandria. Energies are from PBE.

POSCAR file:
```
HoEr2PaBi4
1.0
7.725 0.000 0.000
0.000 4.449 0.000
-2.548 0.000 7.296
Ho Er Pa Bi
1 2 1 4
Cartesian
0.000 0.000 0.000
2.589 0.000 3.648
3.862 2.224 0.000
-1.274 2.224 3.648
1.306 2.224 1.824
0.042 0.000 5.494
5.136 0.000 1.802
3.872 2.224 5.472
```

Results
The formation energy is -5.0 eV per formula unit.

---

What did the second record say?
Here is a relaxed structure of HoEr2PaBi4 from Alexandria. Energies are from PBE.

POSCAR file:
```
HoEr2PaBi4
1.0
7.725 0.000 0.000
0.000 4.449 0.000
-2.548 0.000 7.296
Ho Er Pa Bi
1 2 1 4
Cartesian
0.000 0.000 0.000
2.589 0.000 3.648
3.862 2.224 0.000
-1.274 2.224 3.648
1.306 2.224 1.824
0.042 0.000 5.494
5.136 0.000 1.802
3.872 2.224 5.472
```

Results
The formation energy is -5.0 eV per formula unit.

---

What is the formula in the first record?
HoErBiO2